Record 1
DFT (GGA-PBE) results for Ac2Ag after structural relaxation.

Values from the calculation:
The value obtained for the formation energy is -0.150 eV/atom. Its total energy is -3.839 eV per atom. Its total moment is 0.000 Bohr magnetons per cell. For the calculated density, the calculation gives 8.61 g/cm3.

Cell: 7.4754 7.4754 7.4754 Å, 149.33 149.33 43.93°
Fractional positions:
1 Ac 0.1432 0.1432 0.0000
2 Ac 0.8568 0.8568 0.0000
3 Ag 0.5000 0.5000 0.0000

=====

Record 2
DFT (GGA-PBE) results for AcTl2InS4 after structural relaxation.

Values from the calculation:
The raw formation energy comes out at -0.92 eV/atom. Its total energy is -4.435 eV per atom. Its total moment is 0.000 Bohr magnetons per cell. For the calculated density, the calculation gives 6.50 g/cm3.

Cell: 8.6042 8.6042 8.6042 Å, 122.77 117.36 89.95°
Fractional positions:
1 Ac 0.0000 0.0000 0.0000
2 Ac 0.5000 0.0000 0.5000
3 Tl 0.0000 0.5000 0.5000
4 Tl 0.5000 0.0000 0.0000
5 Tl 0.5000 0.5000 0.0000
6 Tl 0.5000 0.5000 0.5000
7 In 0.0000 0.0000 0.5000
8 In 0.0000 0.5000 0.0000
9 S 0.1980 0.2452 0.9528
10 S 0.2076 0.7548 0.4528
11 S 0.2296 0.2136 0.4840
12 S 0.2296 0.7456 0.0160
13 S 0.7704 0.2544 0.9840
14 S 0.7704 0.7864 0.5160
15 S 0.7924 0.2452 0.5472
16 S 0.8020 0.7548 0.0472

=====

Record 3
DFT (GGA-PBE) results for Ac3RuI after structural relaxation.

Values from the calculation:
The raw formation energy comes out at -0.47 eV/atom. Its total energy is -5.097 eV per atom. Its total moment is 0.000 Bohr magnetons per cell. For the calculated density, the calculation gives 7.68 g/cm3.

Cell: 4.1528 10.2528 9.2345 Å, 90.00 90.00 90.00°
Fractional positions:
1 Ac 0.2500 0.0767 0.1544
2 Ac 0.2500 0.2500 0.7654
3 Ac 0.2500 0.4233 0.1544
4 Ac 0.7500 0.5767 0.8456
5 Ac 0.7500 0.7500 0.2346
6 Ac 0.7500 0.9233 0.8456
7 Ru 0.2500 0.7500 0.0235
8 Ru 0.7500 0.2500 0.9765
9 I 0.2500 0.7500 0.5636
10 I 0.7500 0.2500 0.4364

=====

Record 4
DFT (GGA-PBE) results for FePtSe2 after structural relaxation.

Values from the calculation:
The raw formation energy comes out at 0.21 eV/atom. Its total energy is -5.158 eV per atom. Its total moment is 3.013 Bohr magnetons per cell. For the calculated density, the calculation gives 9.17 g/cm3.

Cell: 4.6123 4.6123 3.6131 Å, 90.00 90.00 105.60°
Fractional positions:
1 Fe 0.0000 0.0000 0.0000
2 Pt 0.5000 0.5000 0.0000
3 Se 0.2543 0.7457 0.5000
4 Se 0.7457 0.2543 0.5000

=====

Record 5
DFT (GGA-PBE) results for La8Pr after structural relaxation.

Values from the calculation:
The value obtained for the formation energy is 0.006 eV/atom. Its total energy is -4.905 eV per atom. Its total moment is 0.000 Bohr magnetons per cell. For the calculated density, the calculation gives 6.34 g/cm3.

Cell: 8.3069 8.3069 8.3069 Å, 95.81 95.81 142.89°
Fractional positions:
1 La 0.0000 0.3338 0.3338
2 La 0.0000 0.6662 0.6662
3 La 0.3328 0.3328 0.6655
4 La 0.3328 0.6672 0.0000
5 La 0.3338 0.0000 0.3338
6 La 0.6662 0.0000 0.6662
7 La 0.6672 0.3328 0.0000
8 La 0.6672 0.6672 0.3345
9 Pr 0.0000 0.0000 0.0000

=====

Record 6
DFT (GGA-PBE) results for Ac2Al12Au7 after structural relaxation.

Values from the calculation:
The value obtained for the formation energy is -0.511 eV/atom. Its total energy is -4.134 eV per atom. Its total moment is 0.000 Bohr magnetons per cell. For the calculated density, the calculation gives 8.83 g/cm3.

Cell: 10.5308 10.5308 4.2249 Å, 90.00 90.00 120.00°
Fractional positions:
1 Ac 0.0000 0.0000 0.0000
2 Ac 0.3333 0.6667 0.5000
3 Al 0.0514 0.7737 0.5000
4 Al 0.0910 0.3872 0.0000
5 Al 0.2263 0.2777 0.5000
6 Al 0.2962 0.9090 0.0000
7 Al 0.4467 0.2379 0.0000
8 Al 0.5175 0.0492 0.5000
9 Al 0.5316 0.4825 0.5000
10 Al 0.6128 0.7038 0.0000
11 Al 0.7223 0.9486 0.5000
12 Al 0.7621 0.2088 0.0000
13 Al 0.7912 0.5533 0.0000
14 Al 0.9508 0.4684 0.5000
15 Au 0.0726 0.6382 0.0000
16 Au 0.2715 0.0498 0.5000
17 Au 0.3618 0.4344 0.0000
18 Au 0.5656 0.9274 0.0000
19 Au 0.6667 0.3333 0.5000
20 Au 0.7783 0.7285 0.5000
21 Au 0.9502 0.2217 0.5000